# 1
! Ac8Os3CI3 | the Alexandria database | PBE | optimized geometry; values from VASP
&SYSTEM
  ibrav = 0, nat = 15, ntyp = 4
/
ATOMIC_SPECIES
Ac 227.00 Ac.upf
Os 190.23 Os.upf
I 126.90 I.upf
C 12.01 C.upf
CELL_PARAMETERS angstrom
8.6366 -0.0016 -0.0028
-4.3197 7.4863 -0.0342
-0.0020 -4.9583 8.7317
ATOMIC_POSITIONS crystal
Ac 0.2174 0.9539 0.6710
Ac 0.2174 0.4349 0.6707
Ac 0.7301 0.4600 0.6895
Ac 0.2699 0.5400 0.3105
Ac 0.2638 0.0464 0.3296
Ac 0.7826 0.5651 0.3293
Ac 0.7362 0.9536 0.6704
Ac 0.7826 0.0461 0.3290
Os 0.5000 0.5000 0.5000
Os 0.5000 0.0000 0.5000
Os 0.0000 0.5000 0.5000
I 0.0000 0.0000 0.0000
I 0.5000 0.5000 0.0000
I 0.0000 0.5000 0.0000
C 0.0000 0.0000 0.5000
! Crystal system   monoclinic
! ΔE_f (raw)   -418 meV/atom

=====

# 2
! Ac8P3CI4 | the Alexandria database | PBE | optimized geometry; values from VASP
&SYSTEM
  ibrav = 0, nat = 16, ntyp = 4
/
ATOMIC_SPECIES
I 126.90 I.upf
Ac 227.00 Ac.upf
C 12.01 C.upf
P 30.97 P.upf
CELL_PARAMETERS angstrom
-0.2443 -2.6827 -8.3371
0.3592 -9.1462 2.9325
-6.4716 4.9670 3.1951
ATOMIC_POSITIONS crystal
I 0.0000 0.0000 0.5000
I 0.0000 0.0000 0.0000
I 0.5000 0.0000 0.5000
I 0.5000 0.0000 0.0000
Ac 0.2174 0.6864 0.4348
Ac 0.7315 0.6945 0.4630
Ac 0.7517 0.6864 0.9691
Ac 0.2483 0.3136 0.0309
Ac 0.7826 0.3136 0.0309
Ac 0.2174 0.6864 0.9691
Ac 0.7826 0.3136 0.5652
Ac 0.2685 0.3055 0.5370
C 0.0000 0.5000 0.0000
P 0.0000 0.5000 0.5000
P 0.5000 0.5000 0.0000
P 0.5000 0.5000 0.5000
! Crystal system   trigonal
! ΔE_f (raw)   -1129 meV/atom

=====

# 3
! Ac6P2CI3 | the Alexandria database | PBE | optimized geometry; values from VASP
&SYSTEM
  ibrav = 0, nat = 12, ntyp = 4
/
ATOMIC_SPECIES
I 126.90 I.upf
Ac 227.00 Ac.upf
P 30.97 P.upf
C 12.01 C.upf
CELL_PARAMETERS angstrom
-1.9012 -4.2899 5.8814
0.1668 -2.9611 -6.9147
8.4583 0.3783 1.4062
ATOMIC_POSITIONS crystal
I 0.8289 0.1711 0.5000
I 0.5000 0.5000 0.5000
I 0.1711 0.8289 0.5000
Ac 0.6251 0.9382 0.8142
Ac 0.0618 0.3749 0.1858
Ac 0.7497 0.7497 0.1872
Ac 0.9382 0.6251 0.8142
Ac 0.3749 0.0618 0.1858
Ac 0.2503 0.2503 0.8128
P 0.6663 0.3337 0.0000
P 0.3337 0.6663 0.0000
C 0.0000 0.0000 0.0000
! Crystal system   monoclinic
! ΔE_f (raw)   -1070 meV/atom

=====

# 4
! Ac4PdCI2 | the Alexandria database | PBE | optimized geometry; values from VASP
&SYSTEM
  ibrav = 0, nat = 8, ntyp = 4
/
ATOMIC_SPECIES
Ac 227.00 Ac.upf
C 12.01 C.upf
I 126.90 I.upf
Pd 106.42 Pd.upf
CELL_PARAMETERS angstrom
-1.1184 -1.3989 -3.8264
-3.6189 -5.9317 3.2264
-5.8966 6.4219 -0.6243
ATOMIC_POSITIONS crystal
Ac 0.5000 0.7464 0.8168
Ac 0.0000 0.2970 0.8185
Ac 0.0000 0.7030 0.1815
Ac 0.5000 0.2536 0.1832
C 0.5000 0.5000 0.0000
I 0.5000 0.0000 0.5000
I 0.0000 0.5000 0.5000
Pd 0.0000 0.0000 0.0000
! Crystal system   monoclinic
! ΔE_f (raw)   -690 meV/atom

=====

# 5
! Ac4PtCI2 | the Alexandria database | PBE | optimized geometry; values from VASP
&SYSTEM
  ibrav = 0, nat = 8, ntyp = 4
/
ATOMIC_SPECIES
Ac 227.00 Ac.upf
I 126.90 I.upf
C 12.01 C.upf
Pt 195.08 Pt.upf
CELL_PARAMETERS angstrom
4.2294 0.0000 0.0000
0.0000 7.6489 0.1674
0.0000 -2.6855 8.3687
ATOMIC_POSITIONS crystal
Ac 0.0000 0.2976 0.8201
Ac 0.5000 0.7554 0.8176
Ac 0.0000 0.7024 0.1799
Ac 0.5000 0.2446 0.1824
I 0.0000 0.5000 0.5000
I 0.5000 0.0000 0.5000
C 0.5000 0.5000 0.0000
Pt 0.0000 0.0000 0.0000
! Crystal system   monoclinic
! ΔE_f (raw)   -808 meV/atom

=====

# 6
! Ac6Pt2CI3 | the Alexandria database | PBE | optimized geometry; values from VASP
&SYSTEM
  ibrav = 0, nat = 12, ntyp = 4
/
ATOMIC_SPECIES
I 126.90 I.upf
Pt 195.08 Pt.upf
Ac 227.00 Ac.upf
C 12.01 C.upf
CELL_PARAMETERS angstrom
7.5577 -0.0088 0.0002
-3.7846 6.5419 0.0002
-1.2592 -2.1802 8.5092
ATOMIC_POSITIONS crystal
I 0.1698 0.8302 0.5000
I 0.5000 0.5000 0.5000
I 0.8302 0.1698 0.5000
Pt 0.6662 0.3338 0.0000
Pt 0.3338 0.6662 0.0000
Ac 0.2481 0.2481 0.8160
Ac 0.7519 0.7519 0.1840
Ac 0.0616 0.3717 0.1821
Ac 0.6283 0.9384 0.8179
Ac 0.9384 0.6283 0.8179
Ac 0.3717 0.0616 0.1821
C 0.0000 0.0000 0.0000
! Crystal system   monoclinic
! ΔE_f (raw)   -945 meV/atom

=====

# 7
! Ac6Pt2CI2 | the Alexandria database | PBE | optimized geometry; values from VASP
&SYSTEM
  ibrav = 0, nat = 11, ntyp = 4
/
ATOMIC_SPECIES
Pt 195.08 Pt.upf
Ac 227.00 Ac.upf
I 126.90 I.upf
C 12.01 C.upf
CELL_PARAMETERS angstrom
7.5270 0.0540 0.0886
-3.6733 6.5700 0.0886
-1.3530 -2.3257 8.1240
ATOMIC_POSITIONS crystal
Pt 0.6699 0.3301 0.5000
Pt 0.3301 0.6699 0.5000
Ac 0.7382 0.7382 0.6926
Ac 0.3678 0.0674 0.6875
Ac 0.6322 0.9326 0.3125
Ac 0.0674 0.3678 0.6875
Ac 0.9326 0.6322 0.3125
Ac 0.2618 0.2618 0.3074
I 0.1754 0.8246 0.0000
I 0.8246 0.1754 0.0000
C 0.0000 0.0000 0.5000
! Crystal system   monoclinic
! ΔE_f (raw)   -778 meV/atom

=====

# 8
! Ac8Pt3CI4 | the Alexandria database | PBE | optimized geometry; values from VASP
&SYSTEM
  ibrav = 0, nat = 16, ntyp = 4
/
ATOMIC_SPECIES
Ac 227.00 Ac.upf
Pt 195.08 Pt.upf
I 126.90 I.upf
C 12.01 C.upf
CELL_PARAMETERS angstrom
-7.0547 -3.8758 3.5820
4.1834 0.7332 9.0326
-0.9168 7.5256 -4.4978
ATOMIC_POSITIONS crystal
Ac 0.2550 0.3203 0.0375
Ac 0.7825 0.3203 0.0375
Ac 0.7821 0.3200 0.5641
Ac 0.2179 0.6800 0.4359
Ac 0.7292 0.6871 0.4583
Ac 0.7450 0.6797 0.9625
Ac 0.2175 0.6797 0.9625
Ac 0.2708 0.3129 0.5417
Pt 0.5000 0.5000 0.5000
Pt 0.5000 0.5000 0.0000
Pt 0.0000 0.5000 0.5000
I 0.0000 0.0000 0.0000
I 0.5000 0.0000 0.0000
I 0.5000 0.0000 0.5000
I 0.0000 0.0000 0.5000
C 0.0000 0.5000 0.0000
! Crystal system   monoclinic
! ΔE_f (raw)   -1005 meV/atom

=====

# 9
! Ac6Rh2CI2 | the Alexandria database | PBE | optimized geometry; values from VASP
&SYSTEM
  ibrav = 0, nat = 11, ntyp = 4
/
ATOMIC_SPECIES
I 126.90 I.upf
Rh 102.91 Rh.upf
C 12.01 C.upf
Ac 227.00 Ac.upf
CELL_PARAMETERS angstrom
-5.0693 3.9999 3.6410
-2.1508 -5.7239 -4.1910
3.3354 -4.6249 6.9851
ATOMIC_POSITIONS crystal
I 0.1687 0.8313 0.0000
I 0.8313 0.1687 0.0000
Rh 0.3303 0.6697 0.5000
Rh 0.6697 0.3303 0.5000
C 0.0000 0.0000 0.5000
Ac 0.0650 0.3794 0.6796
Ac 0.6206 0.9350 0.3204
Ac 0.3794 0.0650 0.6796
Ac 0.2505 0.2505 0.3254
Ac 0.7495 0.7495 0.6746
Ac 0.9350 0.6206 0.3204
! Crystal system   monoclinic
! ΔE_f (raw)   -645 meV/atom

=====

# 10
! Ac8Ru3CI4 | the Alexandria database | PBE | optimized geometry; values from VASP
&SYSTEM
  ibrav = 0, nat = 16, ntyp = 4
/
ATOMIC_SPECIES
I 126.90 I.upf
Ac 227.00 Ac.upf
C 12.01 C.upf
Ru 101.07 Ru.upf
CELL_PARAMETERS angstrom
8.6059 0.0000 0.0000
0.0000 9.8788 0.8931
-4.3029 -4.3045 6.0897
ATOMIC_POSITIONS crystal
I 0.0000 0.0000 0.0000
I 0.0000 0.0000 0.5000
I 0.5000 0.0000 0.0000
I 0.5000 0.0000 0.5000
Ac 0.7313 0.6939 0.4625
Ac 0.2687 0.3061 0.5375
Ac 0.7807 0.3257 0.0450
Ac 0.7805 0.3251 0.5609
Ac 0.2195 0.6749 0.4391
Ac 0.2643 0.3257 0.0450
Ac 0.7357 0.6743 0.9550
Ac 0.2193 0.6743 0.9550
C 0.0000 0.5000 0.0000
Ru 0.0000 0.5000 0.5000
Ru 0.5000 0.5000 0.5000
Ru 0.5000 0.5000 0.0000
! Crystal system   trigonal
! ΔE_f (raw)   -672 meV/atom

=====

# 11
! Ac4RuCI2 | the Alexandria database | PBE | optimized geometry; values from VASP
&SYSTEM
  ibrav = 0, nat = 8, ntyp = 4
/
ATOMIC_SPECIES
Ac 227.00 Ac.upf
Ru 101.07 Ru.upf
I 126.90 I.upf
C 12.01 C.upf
CELL_PARAMETERS angstrom
4.2429 0.0000 0.0000
0.0000 7.3664 0.2171
0.0000 -2.5403 8.4462
ATOMIC_POSITIONS crystal
Ac 0.5000 0.7522 0.8201
Ac 0.5000 0.2478 0.1799
Ac 0.0000 0.7226 0.1737
Ac 0.0000 0.2774 0.8263
Ru 0.0000 0.0000 0.0000
I 0.5000 0.0000 0.5000
I 0.0000 0.5000 0.5000
C 0.5000 0.5000 0.0000
! Crystal system   monoclinic
! ΔE_f (raw)   -618 meV/atom

=====

# 12
! Ac6Ru2CI3 | the Alexandria database | PBE | optimized geometry; values from VASP
&SYSTEM
  ibrav = 0, nat = 12, ntyp = 4
/
ATOMIC_SPECIES
Ru 101.07 Ru.upf
Ac 227.00 Ac.upf
I 126.90 I.upf
C 12.01 C.upf
CELL_PARAMETERS angstrom
7.4264 0.0037 -0.0011
-3.7082 6.4344 -0.0011
-1.2409 -2.1486 8.5463
ATOMIC_POSITIONS crystal
Ru 0.3330 0.6670 0.0000
Ru 0.6670 0.3330 0.0000
Ac 0.6220 0.9413 0.8215
Ac 0.3780 0.0587 0.1785
Ac 0.2600 0.2600 0.8215
Ac 0.9413 0.6220 0.8215
Ac 0.0587 0.3780 0.1785
Ac 0.7400 0.7400 0.1785
I 0.8312 0.1688 0.5000
I 0.1688 0.8312 0.5000
I 0.5000 0.5000 0.5000
C 0.0000 0.0000 0.0000
! Crystal system   monoclinic
! ΔE_f (raw)   -651 meV/atom